No. 1
LaPCl: relaxed, PBE.

## Properties
Energy relative to the lowest polymorph listed for this composition in kcal/mol of atoms: 10.22
Electronic total energy in eV for the cell shown: -15.61
Formation energy without anion corrections in eV per formula unit: -3.427

a b c (Å): 5.6847 5.6847 5.6847
angles (deg): 139.21 139.22 59.05
Last column: magnetic moment on the atom in μB.
Sites, in units of the cell vectors:
Cl: 0.9894 0.9894 0.0000  0.10
P: 0.7054 0.7054 0.0000  0.30
La: 0.3052 0.3052 0.0000  0.06

***

No. 2
LaPCl4: relaxed, PBE.

## Properties
Electronic total energy in eV for the cell shown: -19.05
Formation energy without anion corrections in eV per formula unit: -1.327

a b c (Å): 5.8678 5.8678 5.8678
angles (deg): 60.00 60.00 60.00
Last column: magnetic moment on the atom in μB.
Sites, in units of the cell vectors:
Cl: 0.3757 0.3757 0.8729  0.32
Cl: 0.3757 0.3757 0.3757  0.32
Cl: 0.8729 0.3757 0.3757  0.32
Cl: 0.3757 0.8729 0.3757  0.32
La: 0.7500 0.7500 0.7500  0.12
P: 0.0000 0.0000 0.0000  0.93

***

No. 3
LaP2Cl: relaxed, PBE.

## Properties
Energy relative to the lowest polymorph listed for this composition in kcal/mol of atoms: 4.87
Electronic total energy in eV for the cell shown: -21.26
Formation energy without anion corrections in eV per formula unit: -3.664

a b c (Å): 6.0502 6.0502 6.0502
angles (deg): 142.30 142.30 54.37
Sites, in units of the cell vectors:
P: 0.5000 0.5000 0.0000
P: 0.0000 0.0000 0.0000
La: 0.7500 0.2500 0.5000
Cl: 0.2500 0.7500 0.5000

***

No. 4
La2PCl: relaxed, PBE.

## Properties
Electronic total energy in eV for the cell shown: -22.91
Formation energy without anion corrections in eV per formula unit: -5.797

a b c (Å): 6.2230 6.2227 4.4599
angles (deg): 90.00 90.00 36.75
Sites, in units of the cell vectors:
La: 0.0132 0.0131 0.1250
La: 0.7470 0.7470 0.6250
P: 0.4851 0.4851 0.6250
Cl: 0.2547 0.2548 0.1250